Entry from Alexandria via LeMat-Bulk: IrRuAu after structural relaxation (PBE).

Values from the calculation:
- Density of states at the Fermi level: 3.598 states/eV/f.u.
- SG: No. 42
- Calculated total energy: -0.24630 Ha/atom
- Excess energy over the best structure of this formula in the dataset: 242 meV/atom
- Formation energy from the elements: 1.3 eV/f.u.

abc: 7.636 7.385 2.756
angles: 84.60 74.34 21.06
Site moments in Bohr magnetons follow the coordinates.
Atoms (fractional coordinates):
Au1 0.001 0.001 0.999  0.03
Ir1 0.325 0.325 0.675  0.12
Ru1 0.674 0.674 0.326  0.90